This record from Alexandria describes an optimized crystal structure of CeTlSe4. The functional is PBE-GGA.

- ρ: 6.3 Mg/m³
- SG: Cmcm, No. 63
- VASP energy: -52.47 eV/cell
- E_form (uncorrected): -0.666 eV/atom

extended XYZ file:
```
12
Lattice="-6.1438 -0.7014 -0.3314 1.2352 -2.3507 5.5944 -1.1673 8.4298 3.7998" Properties=species:S:1:pos:R:3 pbc="T T T"
Ce -3.1485 0.3313 4.0128
Se -2.0841 3.8779 7.9014
Se 0.0137 0.6045 4.3781
Tl -0.4851 1.9873 1.1572
Se -1.9814 2.9206 3.2802
Se -6.0896 4.7732 4.6846
Tl -5.5909 3.3904 7.9056
Se -4.0945 2.4571 5.7825
Se -3.9919 1.4998 1.1614
Se -1.5062 -0.5114 1.7332
Ce -2.9275 5.0464 5.0500
Se -4.5698 5.8891 7.3295
```



This record from Alexandria describes an optimized crystal structure of LiLaPuRu. The functional is PBE-GGA.

- ρ: 9.2 Mg/m³
- SG: F-43m, No. 216
- VASP energy: -30.44 eV/cell

extended XYZ file:
```
4
Lattice="5.0096 0.0000 0.0000 2.5048 4.3384 0.0000 2.5048 1.4461 4.0903" Properties=species:S:1:pos:R:3 pbc="T T T"
Pu 5.0096 2.8923 2.0452
Li 2.5048 1.4461 1.0226
Ru 7.5144 4.3384 3.0677
La 0.0000 0.0000 0.0000
```



This record from Alexandria describes an optimized crystal structure of Tc2Os2F. The functional is PBE-GGA.

- Relative energy among the computed polymorphs: 339 meV per atom
- ρ: 11.2 Mg/m³
- SG: I4/mmm, No. 139
- VASP energy: -41.89 eV/cell
- E_form (uncorrected): 0.635 eV/atom

extended XYZ file:
```
5
Lattice="-1.1527 -1.0579 3.7469 -0.1354 -3.8945 -1.1412 4.4778 -3.0671 2.7117" Properties=species:S:1:pos:R:3 pbc="T T T"
Os 2.6394 -5.4055 3.6861
Tc 1.8492 -4.7189 1.4367
Tc 1.3405 -3.3006 3.8808
Os 0.5503 -2.6140 1.6314
F 0.0000 0.0000 0.0000
```



This record from Alexandria describes an optimized crystal structure of NbIn3O7. The functional is PBE-GGA.

- ρ: 6.3 Mg/m³
- SG: C222_1, No. 20
- VASP energy: -145.24 eV/cell
- E_form (uncorrected): -1.784 eV/atom

extended XYZ file:
```
22
Lattice="-0.2352 -6.3342 1.1991 3.8035 2.7465 4.4279 -5.7869 1.0344 4.3292" Properties=species:S:1:pos:R:3 pbc="T T T"
In -4.5002 -2.2326 3.8638
In 1.9688 -1.9795 3.1046
O -3.0661 -2.1650 5.6526
O -2.3510 -0.6765 9.1207
O 0.3344 -1.1601 7.4051
In 0.4197 1.5513 3.1564
O -1.9709 0.2975 6.5282
O -4.3572 1.5730 5.5866
O -0.7897 2.9534 7.4725
O -0.2612 -3.6974 6.1650
O -1.4289 -5.5068 2.4837
In -2.5331 -4.1234 6.7211
In 2.1764 -0.3020 6.1712
O 0.8475 -0.3884 4.3036
O -1.7394 0.9373 3.8169
Nb 0.6290 -3.0244 7.7193
O -0.2477 -2.8509 3.4280
Nb 0.0459 -0.0461 0.0723
In -1.2939 -1.0911 4.6870
O 2.2168 -3.9725 4.1225
O -2.5635 -1.3949 2.8525
O -0.1531 -1.8222 0.7558
```



This record from Alexandria describes an optimized crystal structure of Zr4Ga12Ni. The functional is PBE-GGA.

- ρ: 7.2 Mg/m³
- SG: Im-3m, No. 229
- VASP energy: -83.26 eV/cell

extended XYZ file:
```
17
Lattice="-2.6164 -5.7598 3.4929 -1.8148 -0.3887 -6.9840 7.1991 0.1247 0.6147" Properties=species:S:1:pos:R:3 pbc="T T T"
Ga 3.2725 -4.0240 2.9332
Zr -1.3082 -2.8799 1.7464
Ga 1.3102 -1.6111 1.1744
Ga -3.1643 -4.3906 -2.4930
Ga -0.8695 -3.1402 -3.3379
Ga 3.6374 -2.8835 0.4615
Ga -1.0699 -4.4830 -0.7187
Zr -0.9074 -0.1944 -3.4920
Ni 0.0000 0.0000 0.0000
Ga 1.5394 -0.0755 -1.8210
Zr 1.3840 -3.0119 -1.4382
Ga 1.1836 -4.3546 1.1810
Ga 3.8378 -1.5408 -2.1577
Ga 1.5843 -1.6691 -4.0574
Ga 3.8449 -0.1885 -4.5483
Zr 3.5996 0.0624 0.3074
Ga -1.2669 -1.7579 -0.9981
```



This record from Alexandria describes an optimized crystal structure of LiPm2Zn4Pt3. The functional is PBE-GGA.

- ρ: 10.0 Mg/m³
- SG: P-4m2, No. 115
- VASP energy: -41.60 eV/cell

extended XYZ file:
```
10
Lattice="-3.6573 -1.6086 0.5245 0.7009 -2.5774 -3.0174 4.4747 -7.6924 7.6102" Properties=species:S:1:pos:R:3 pbc="T T T"
Pm -0.7528 -2.6538 2.0919
Zn 0.0000 0.0000 0.0000
Pm 3.7493 -7.1316 4.2718
Li 0.7591 -5.9392 2.5586
Pt 1.0016 -2.4081 -0.4013
Pt 2.2373 -3.8462 3.8051
Zn -1.4782 -2.0930 -1.2465
Zn 1.9907 -4.1084 1.2808
Zn 1.0058 -5.6771 5.0829
Pt 1.9949 -7.3774 6.7650
```



This record from Alexandria describes an optimized crystal structure of AcSnO. The functional is PBE-GGA.

- Relative energy among the computed polymorphs: 580 meV per atom
- ρ: 7.4 Mg/m³
- SG: Pmma, No. 51
- VASP energy: -106.35 eV/cell
- E_form (uncorrected): -1.552 eV/atom

extended XYZ file:
```
18
Lattice="3.7496 0.0000 0.0000 0.0000 6.6435 0.0000 0.0000 0.0000 19.6102" Properties=species:S:1:pos:R:3 pbc="T T T"
Sn 0.0000 4.5095 0.8060
O 1.8748 5.4843 4.9026
Ac 0.0000 3.2778 14.7077
Ac 1.8748 5.8127 11.8453
Ac 1.8748 0.8307 2.0402
Sn 0.0000 6.6004 14.7077
O 1.8748 2.5126 3.4751
Ac 0.0000 3.3657 4.9026
Ac 1.8748 5.8127 17.5700
Sn 0.0000 0.0431 4.9026
Ac 1.8748 0.8307 7.7649
O 1.8748 2.5126 6.3300
Sn 0.0000 2.1339 18.8042
O 1.8748 1.1592 14.7077
Sn 0.0000 4.5095 8.9991
Sn 0.0000 2.1339 10.6111
O 1.8748 4.1308 13.2802
O 1.8748 4.1308 16.1351
```



This record from Alexandria describes an optimized crystal structure of MgTe2AsPb. The functional is PBE-GGA.

- ρ: 6.1 Mg/m³
- SG: P4/mmm, No. 123
- VASP energy: -15.52 eV/cell
- E_form (uncorrected): 0.143 eV/atom

extended XYZ file:
```
5
Lattice="-1.2846 -3.3840 -4.2885 1.5656 -4.4487 3.0415 -4.5573 -0.4355 1.7087" Properties=species:S:1:pos:R:3 pbc="T T T"
Te -0.6423 -1.6920 -2.1442
Pb -2.1381 -4.1341 0.2309
As -2.2786 -0.2178 0.8544
Te 0.7828 -2.2244 1.5208
Mg 0.0000 0.0000 0.0000
```



This record from Alexandria describes an optimized crystal structure of Ba3Na3Pb8. The functional is PBE-GGA.

- ρ: 7.2 Mg/m³
- SG: Immm, No. 71
- VASP energy: -43.79 eV/cell

extended XYZ file:
```
14
Lattice="5.0489 0.0000 0.0000 2.5245 10.1081 0.0449 2.5245 2.7951 9.7140" Properties=species:S:1:pos:R:3 pbc="T T T"
Pb 7.5734 9.4136 5.0209
Na 2.5245 4.2036 7.8517
Pb 7.5734 7.3941 7.6910
Pb 2.5245 5.5091 2.0678
Na 2.5245 0.0000 0.0000
Pb 2.5245 3.4896 4.7380
Ba 5.0489 6.4516 4.8794
Pb 5.0489 2.3579 6.3407
Pb 5.0489 6.1601 9.2164
Pb 5.0489 6.7431 0.5425
Na 2.5245 8.6996 1.9072
Ba 5.0489 10.1411 7.6698
Ba 5.0489 2.7621 2.0890
Pb 5.0489 10.5453 3.4182
```



This record from Alexandria describes an optimized crystal structure of NaAc2Pb2. The functional is PBE-GGA.

- Relative energy among the computed polymorphs: 0 meV per atom
- ρ: 8.2 Mg/m³
- SG: P4/mnc, No. 128
- VASP energy: -76.42 eV/cell

extended XYZ file:
```
20
Lattice="8.5920 0.0000 0.0000 0.0000 8.5920 0.0000 0.0000 0.0000 9.8305" Properties=species:S:1:pos:R:3 pbc="T T T"
Na 4.2960 4.2960 7.3693
Pb 3.1859 7.4818 7.3729
Pb 7.4818 5.4061 2.4576
Ac 5.7840 7.1060 4.9152
Na 4.2960 4.2960 2.4612
Pb 5.4061 1.1101 2.4576
Pb 1.1101 3.1859 7.3729
Pb 1.1101 3.1859 2.4576
Ac 2.8080 1.4859 4.9152
Ac 1.4859 5.7840 4.9152
Pb 5.4061 1.1101 7.3729
Pb 3.1859 7.4818 2.4576
Ac 7.1060 2.8080 4.9152
Ac 2.8101 1.4880 0.0000
Ac 1.4880 5.7819 0.0000
Na 0.0000 0.0000 2.4541
Ac 5.7819 7.1040 0.0000
Ac 7.1040 2.8101 0.0000
Na 0.0000 0.0000 7.3764
Pb 7.4818 5.4061 7.3729
```



This record from Alexandria describes an optimized crystal structure of LaSm3Sc. The functional is PBE-GGA.

- Relative energy among the computed polymorphs: 99 meV per atom
- ρ: 6.4 Mg/m³
- SG: C2/m, No. 12
- VASP energy: -49.33 eV/cell

extended XYZ file:
```
10
Lattice="-0.6068 2.9453 6.3598 -8.1563 -3.3195 -3.1323 7.6645 -3.3625 2.2881" Properties=species:S:1:pos:R:3 pbc="T T T"
Sm -3.6301 -1.5726 2.3341
La -6.7300 -2.0327 0.2987
La 5.6314 -1.7041 5.2170
Sm 2.2269 -0.6860 6.3732
Sm -3.3256 -3.0507 -0.8576
Sm -0.3611 -2.3427 1.0501
Sc 5.6506 -3.1804 2.0116
Sm -0.7375 -1.3940 4.4656
Sm 2.5314 -2.1641 3.1815
Sc -6.7492 -0.5563 3.5041
```



This record from Alexandria describes an optimized crystal structure of HoCu4Ni. The functional is PBE-GGA.

- ρ: 9.1 Mg/m³
- SG: P-6m2, No. 187
- VASP energy: -28.17 eV/cell

extended XYZ file:
```
6
Lattice="-3.0726 -3.5948 1.5560 3.5624 1.7125 3.0267 -2.5611 2.8065 1.4265" Properties=species:S:1:pos:R:3 pbc="T T T"
Ho 0.0000 0.0000 0.0000
Cu -1.0297 0.4668 3.0059
Cu -0.8609 -1.8257 2.0463
Cu 0.7420 1.3185 4.5112
Cu 0.4984 2.2546 2.2321
Ni 1.3508 -0.0566 2.5365
```



This record from Alexandria describes an optimized crystal structure of BeOsPd3. The functional is PBE-GGA.

- Relative energy among the computed polymorphs: 0 meV per atom
- ρ: 11.8 Mg/m³
- SG: Pm-3m, No. 221
- VASP energy: -27.74 eV/cell

extended XYZ file:
```
5
Lattice="4.1752 0.0000 0.0000 0.0000 4.1752 0.0000 0.0000 0.0000 4.1752" Properties=species:S:1:pos:R:3 pbc="T T T"
Pd 0.0000 2.0876 0.0000
Os 2.0876 2.0876 2.0876
Pd 2.0876 0.0000 0.0000
Be 0.0000 0.0000 0.0000
Pd 0.0000 0.0000 2.0876
```



This record from Alexandria describes an optimized crystal structure of Pd5Pt4Au2. The functional is PBE-GGA.

- ρ: 15.2 Mg/m³
- SG: C2/m, No. 12
- VASP energy: -55.24 eV/cell

extended XYZ file:
```
11
Lattice="-1.1888 -4.5603 2.8464 -5.5809 2.0271 -4.4078 8.3751 -2.4986 -0.5029" Properties=species:S:1:pos:R:3 pbc="T T T"
Au -0.1433 -4.1890 -1.4438
Au 1.7487 -0.8429 -0.6205
Pd 3.5931 -3.5295 1.1717
Pd 3.2288 -1.0250 -2.9897
Pd 2.6266 -3.3344 -1.5461
Pt 1.0151 -3.0742 0.8235
Pt 0.5902 -1.9577 -2.8878
Pt -3.5753 -2.4713 -0.1280
Pt 5.1806 -2.5605 -1.9363
Pd -1.6235 -4.0069 0.9254
Pd -1.0212 -1.6974 -0.5182
```



This record from Alexandria describes an optimized crystal structure of K2LaSe2O6. The functional is PBE-GGA.

- ρ: 3.8 Mg/m³
- SG: C2/m, No. 12
- VASP energy: -61.24 eV/cell
- E_form (uncorrected): -1.582 eV/atom

extended XYZ file:
```
11
Lattice="-4.2549 -4.5423 -1.1588 3.4058 0.0522 4.5835 -5.5158 4.9290 0.9326" Properties=species:S:1:pos:R:3 pbc="T T T"
O -5.1357 2.5033 0.6597
O -4.4194 -0.8053 2.0905
K -2.3897 -2.4631 1.1359
Se -5.2571 -0.3926 3.5489
O 0.9626 0.2753 4.2945
K -3.9752 2.9019 3.2215
O -1.2292 -2.0644 3.6976
O -1.9455 1.2442 2.2669
La -4.8854 0.1934 -0.1131
Se -1.1078 0.8315 0.8085
O -7.3275 0.1636 0.0629
```



This record from Alexandria describes an optimized crystal structure of Nb2IrPd2. The functional is PBE-GGA.

- Relative energy among the computed polymorphs: 0 meV per atom
- ρ: 12.2 Mg/m³
- SG: Immm, No. 71
- VASP energy: -41.51 eV/cell

extended XYZ file:
```
5
Lattice="-0.9300 1.8219 1.9892 -3.1456 -2.2351 0.5764 5.6047 -3.5052 3.7893" Properties=species:S:1:pos:R:3 pbc="T T T"
Ir -2.0378 -0.2066 1.2828
Nb 0.7944 -3.1542 5.3095
Pd -0.6129 -1.6898 3.3079
Pd 2.1419 -2.2286 3.0470
Nb 0.7346 -0.7643 1.0453
```



This record from Alexandria describes an optimized crystal structure of KRuSe2. The functional is PBE-GGA.

- ρ: 5.9 Mg/m³
- SG: F-43m, No. 216
- VASP energy: -14.29 eV/cell
- E_form (uncorrected): 0.764 eV/atom

extended XYZ file:
```
4
Lattice="4.9180 0.0000 0.0000 2.4590 4.2591 0.0000 2.4590 1.4197 4.0155" Properties=species:S:1:pos:R:3 pbc="T T T"
Se 2.4590 1.4197 1.0039
Ru 7.3769 4.2591 3.0116
Se 0.0000 0.0000 0.0000
K 4.9180 2.8394 2.0077
```



This record from Alexandria describes an optimized crystal structure of AgPPd2. The functional is PBE-GGA.

- ρ: 8.7 Mg/m³
- SG: I-42d, No. 122
- VASP energy: -38.48 eV/cell

extended XYZ file:
```
8
Lattice="7.1000 0.0000 0.0000 0.0000 7.1000 0.0000 3.5500 3.5500 2.6650" Properties=species:S:1:pos:R:3 pbc="T T T"
Pd 5.3250 5.8154 1.9987
Ag 7.1000 3.5500 1.3325
Pd 2.2654 5.3250 0.6662
Ag 0.0000 0.0000 0.0000
P 3.5500 3.5500 0.0000
P 3.5500 7.1000 1.3325
Pd 4.8346 1.7750 0.6662
Pd 8.8750 8.3846 1.9987
```



This record from Alexandria describes an optimized crystal structure of TlNi2. The functional is PBE-GGA.

- ρ: 11.1 Mg/m³
- SG: I4/mcm, No. 140
- VASP energy: -26.20 eV/cell

extended XYZ file:
```
6
Lattice="0.3098 -4.2712 -3.3860 3.2864 -3.5235 2.5668 -4.4530 2.5147 1.9109" Properties=species:S:1:pos:R:3 pbc="T T T"
Ni 0.6636 -4.5402 0.7269
Tl 2.6971 -5.8460 -0.6145
Ni 0.7097 -4.2635 -1.7032
Ni -1.5665 -1.0165 2.7948
Ni -1.5204 -0.7398 0.3647
Tl 0.8990 -1.9487 -0.2048
```



This record from Alexandria describes an optimized crystal structure of AlBrCl2. The functional is PBE-GGA.

- Relative energy among the computed polymorphs: 1088 meV per atom
- ρ: 2.5 Mg/m³
- SG: R-3m, No. 166
- VASP energy: -10.13 eV/cell
- E_form (uncorrected): -0.256 eV/atom

extended XYZ file:
```
4
Lattice="2.0352 0.0000 11.1265 -1.0176 1.7626 11.1265 -1.0176 -1.7626 11.1265" Properties=species:S:1:pos:R:3 pbc="T T T"
Cl 0.0000 0.0000 31.2983
Cl 0.0000 0.0000 2.0813
Br 0.0000 0.0000 16.6898
Al 0.0000 0.0000 0.0000
```